Entry 1:
SiAs2Se: relaxed, PBE.

a b c (Å): 6.0101 3.7237 3.7237
angles (deg): 90.00 90.00 90.00
Last column: nearest neighbours and their distance in Å.
Element x y z (fractional)
As 0.0000 0.0000 0.0000  4 As 2.63
As 0.0000 0.5000 0.5000  4 As 2.63
Si 0.5000 0.0000 0.5000  4 Se 2.63
Se 0.5000 0.5000 0.0000  4 Si 2.63

Calculated values
- offset from the most stable computed form (meV per atom) = 508
- formation energy (no corrections) (meV/atom) = 450.5

***

Entry 2:
Sm8Si3AsSe4: relaxed, PBE.

a b c (Å): 8.4036 8.4489 8.4036
angles (deg): 119.82 120.00 90.00
Last column: nearest neighbours and their distance in Å.
Element x y z (fractional)
Sm 0.2537 0.2611 0.5074  3 Si 2.94, 3 Se 3.02
Sm 0.2472 0.7373 0.9901  2 Si 2.92, 1 As 2.95, 3 Se 3.01-3.04
Sm 0.7463 0.7389 0.4926  3 Si 2.94, 3 Se 3.02
Sm 0.7528 0.2627 0.0099  2 Si 2.92, 1 As 2.95, 3 Se 3.01-3.04
Sm 0.2571 0.2627 0.0099  2 Si 2.92, 1 As 2.95, 3 Se 3.01-3.04
Sm 0.2472 0.7373 0.4943  2 Si 2.92, 1 As 2.95, 3 Se 3.01-3.04
Sm 0.7528 0.2627 0.5057  2 Si 2.92, 1 As 2.95, 3 Se 3.01-3.04
Sm 0.7429 0.7373 0.9901  2 Si 2.92, 1 As 2.95, 3 Se 3.01-3.04
Si 0.5000 0.5000 0.0000  6 Sm 2.92-2.94
Si 0.5000 0.5000 0.5000  6 Sm 2.92-2.94
Si 0.0000 0.5000 0.5000  6 Sm 2.92-2.94
Se 0.5000 0.0000 0.0000  6 Sm 3.01
Se 0.0000 0.0000 0.5000  6 Sm 3.02-3.04
Se 0.0000 0.0000 0.0000  6 Sm 3.02-3.04
Se 0.5000 0.0000 0.5000  6 Sm 3.02-3.04
As 0.0000 0.5000 0.0000  6 Sm 2.95

Calculated values
- formation energy (no corrections) (meV/atom) = -1430.4

***

Entry 3:
Sm6Si2AsSe3: relaxed, PBE.

a b c (Å): 4.2013 8.4488 9.4243
angles (deg): 103.17 102.88 90.00
Last column: nearest neighbours and their distance in Å.
Element x y z (fractional)
Sm 0.9956 0.7539 0.9913  1 Si 2.90, 2 As 2.94, 3 Se 3.02-3.03
Sm 0.0044 0.2461 0.0087  1 Si 2.90, 2 As 2.94, 3 Se 3.02-3.03
Sm 0.3347 0.9070 0.6694  2 Si 2.92, 1 As 2.95, 3 Se 3.03
Sm 0.6693 0.5767 0.3386  3 Si 2.93, 3 Se 3.03-3.04
Sm 0.3307 0.4233 0.6614  3 Si 2.93, 3 Se 3.03-3.04
Sm 0.6653 0.0930 0.3306  2 Si 2.92, 1 As 2.95, 3 Se 3.03
Se 0.1655 0.8342 0.3309  6 Sm 3.03-3.04
Se 0.5000 0.5000 0.0000  6 Sm 3.02-3.03
Se 0.8345 0.1658 0.6691  6 Sm 3.03-3.04
As 0.5000 0.0000 0.0000  6 Sm 2.94-2.95
Si 0.8334 0.6668 0.6669  6 Sm 2.90-2.93
Si 0.1666 0.3332 0.3331  6 Sm 2.90-2.93

Calculated values
- formation energy (no corrections) (meV/atom) = -1467.6

***

Entry 4:
Sm4SiAsSe2: relaxed, PBE.

a b c (Å): 4.2022 7.3037 7.2822
angles (deg): 70.66 90.00 90.00
Last column: nearest neighbours and their distance in Å.
Element x y z (fractional)
Sm 0.0000 0.7377 0.7505  1 Si 2.91, 2 As 2.94, 3 Se 3.02-3.05
Sm 0.5000 0.7380 0.2570  2 Si 2.92, 1 As 2.95, 3 Se 3.01-3.03
Sm 0.5000 0.2620 0.7430  2 Si 2.92, 1 As 2.95, 3 Se 3.01-3.03
Sm 0.0000 0.2623 0.2495  1 Si 2.91, 2 As 2.94, 3 Se 3.02-3.05
As 0.5000 0.5000 0.0000  6 Sm 2.94-2.95
Se 0.5000 0.0000 0.5000  6 Sm 3.01-3.02
Se 0.0000 0.0000 0.0000  6 Sm 3.03-3.05
Si 0.0000 0.5000 0.5000  6 Sm 2.91-2.92

Calculated values
- formation energy (no corrections) (meV/atom) = -1544.3

***

Entry 5:
SrSiAs2Se: relaxed, PBE.

a b c (Å): 5.5860 5.5860 5.6068
angles (deg): 90.00 90.00 90.00
Last column: nearest neighbours and their distance in Å.
Element x y z (fractional)
Sr 0.0000 0.0000 0.0000  4 As 2.79, 2 Se 2.80
Se 0.0000 0.0000 0.5000  2 Sr 2.80
As 0.5000 0.0000 0.0000  2 Sr 2.79
As 0.0000 0.5000 0.0000  2 Sr 2.79
Si 0.5000 0.5000 0.5000  4 Se 3.95, 8 As 3.96

Calculated values
- offset from the most stable computed form (meV per atom) = 1351
- formation energy (no corrections) (meV/atom) = 1102.7

***

Entry 6:
SrSiAs2Se: relaxed, PBE.

a b c (Å): 4.8673 4.8673 5.1355
angles (deg): 90.00 90.00 90.00
Last column: nearest neighbours and their distance in Å.
Element x y z (fractional)
Si 0.0000 0.0000 0.0000  4 As 2.43, 2 Se 2.57
As 0.0000 0.5000 0.0000  2 Si 2.43
As 0.5000 0.0000 0.0000  2 Si 2.43
Sr 0.5000 0.5000 0.5000  4 Se 3.44, 8 As 3.54
Se 0.0000 0.0000 0.5000  2 Si 2.57

Calculated values
- offset from the most stable computed form (meV per atom) = 0
- formation energy (no corrections) (meV/atom) = -248.5